First-principles (GGA-PBE) data for a relaxed CsSrAs3 crystal, as listed in Alexandria.

Geometry as CIF:
```
data_CsSrAs3
_space_group_name_H-M_alt 'P m -3 m'
_space_group_IT_number 221
_space_group_name_Hall '-P 4 2 3'
_cell_length_a 5.732
_cell_length_b 5.732
_cell_length_c 5.732
_cell_angle_alpha 90.00
_cell_angle_beta 90.00
_cell_angle_gamma 90.00
loop_
_atom_site_label
_atom_site_type_symbol
_atom_site_fract_x
_atom_site_fract_y
_atom_site_fract_z
Cs1 Cs 0.000 0.000 0.000
Sr1 Sr 0.500 0.500 0.500
As1 As 0.000 0.000 0.500
```

Results
energy above the lowest structure with this stoichiometry	540	meV/atom
density of states at the Fermi level	1.21	states/eV/atom